The following is a GGA-PBE calculation of a relaxed TbPuSc2 crystal, from Alexandria via LeMat-Bulk.

Unit cell a=3.291 b=3.291 c=11.772 alpha=81.97 beta=81.97 gamma=60.00
Fractional coordinates of all 4 atoms:
Sc  0.088  0.088  0.736
Sc  0.912  0.912  0.264
Tb  0.500  0.500  0.500
Pu  0.000  0.000  0.000

**DOS at the Fermi energy**: 11.75 states/eV/cell
**Space group**: R-3m (166)
**Energy relative to the elements**: 0.28 eV per atom

***

The following is a GGA-PBE calculation of a relaxed RbHoSn2F8 crystal, from Alexandria via LeMat-Bulk.

Unit cell a=4.201 b=6.221 c=8.462 alpha=96.08 beta=89.99 gamma=90.00
Fractional coordinates of all 12 atoms:
Rb  0.000  0.000  0.500
Ho  0.000  0.000  0.000
Sn  0.500  0.536  0.751
Sn  0.500  0.464  0.249
F  0.000  0.797  0.189
F  0.500  0.817  0.943
F  0.000  0.286  0.211
F  0.000  0.203  0.811
F  0.500  0.183  0.057
F  0.000  0.714  0.789
F  0.500  0.722  0.557
F  0.500  0.278  0.443

**E_tot**: -5.344 eV/atom
**DOS at the Fermi energy**: 0.00 states/eV/cell
**Space group**: P2/m (10)

***

The following is a GGA-PBE calculation of a relaxed BeNi2Cl crystal, from Alexandria via LeMat-Bulk.

Unit cell a=3.250 b=3.250 c=5.846 alpha=73.66 beta=73.66 gamma=59.98
Fractional coordinates of all 4 atoms:
Ni  0.976  0.976  0.075
Ni  0.524  0.524  0.425
Be  0.250  0.250  0.250
Cl  0.750  0.750  0.750

**E_tot**: -4.214 eV/atom
**DOS at the Fermi energy**: 3.16 states/eV/cell
**Space group**: C2/m (12)

***

The following is a GGA-PBE calculation of a relaxed CrAs2Au crystal, from Alexandria via LeMat-Bulk.

Unit cell a=4.595 b=4.595 c=4.716 alpha=69.42 beta=69.42 gamma=105.71
Fractional coordinates of all 4 atoms:
As  0.000  0.000  0.000
As  0.500  0.500  0.000
Au  0.500  0.000  0.500
Cr  0.000  0.500  0.500

**DOS at the Fermi energy**: 2.32 states/eV/cell
**Space group**: C2/m (12)
**Energy relative to the elements**: 0.20 eV per atom

***

The following is a GGA-PBE calculation of a relaxed Dy3As2Pd2Rh5 crystal, from Alexandria via LeMat-Bulk.

Unit cell a=4.044 b=4.044 c=13.540 alpha=98.59 beta=98.59 gamma=90.00
Fractional coordinates of all 12 atoms:
Dy  0.167  0.167  0.333
Dy  0.833  0.833  0.667
Dy  0.000  0.000  0.000
As  0.370  0.370  0.739
As  0.630  0.630  0.261
Pd  0.725  0.725  0.450
Pd  0.275  0.275  0.550
Rh  0.579  0.079  0.159
Rh  0.421  0.921  0.841
Rh  0.079  0.579  0.159
Rh  0.921  0.421  0.841
Rh  0.500  0.500  0.000

**DOS at the Fermi energy**: 7.10 states/eV/cell
**Space group**: I4/mmm (139)
**Energy relative to the elements**: -0.83 eV per atom

***

The following is a GGA-PBE calculation of a relaxed TcSbSe3 crystal, from Alexandria via LeMat-Bulk.

Unit cell a=4.893 b=4.893 c=4.893 alpha=90.00 beta=90.00 gamma=90.00
Fractional coordinates of all 5 atoms:
Sb  0.500  0.500  0.500
Tc  0.000  0.000  0.000
Se  0.000  0.500  0.000
Se  0.000  0.000  0.500
Se  0.500  0.000  0.000

**E_tot**: -4.653 eV/atom
**DOS at the Fermi energy**: 5.71 states/eV/cell
**Space group**: Pm-3m (221)

***

The following is a GGA-PBE calculation of a relaxed ErThTeP crystal, from Alexandria via LeMat-Bulk.

Unit cell a=4.106 b=4.106 c=7.735 alpha=90.00 beta=105.39 gamma=120.00
Fractional coordinates of all 4 atoms:
Er  0.499  0.148  0.662
Th  0.106  0.951  0.072
Te  0.975  0.386  0.376
P  0.297  0.547  0.859

**E_tot**: -6.555 eV/atom
**DOS at the Fermi energy**: 0.67 states/eV/cell
**Space group**: R3m (160)

***

The following is a GGA-PBE calculation of a relaxed Pd12PtPb3 crystal, from Alexandria via LeMat-Bulk.

Unit cell a=4.091 b=4.091 c=16.099 alpha=90.00 beta=90.00 gamma=90.00
Fractional coordinates of all 16 atoms:
Pd  0.500  0.500  0.000
Pd  0.500  0.500  0.245
Pd  0.500  0.500  0.500
Pd  0.500  0.500  0.755
Pd  0.500  0.000  0.119
Pd  0.500  0.000  0.372
Pd  0.500  0.000  0.628
Pd  0.500  0.000  0.881
Pd  0.000  0.500  0.119
Pd  0.000  0.500  0.372
Pd  0.000  0.500  0.628
Pd  0.000  0.500  0.881
Pt  0.000  0.000  0.000
Pb  0.000  0.000  0.243
Pb  0.000  0.000  0.500
Pb  0.000  0.000  0.757

**DOS at the Fermi energy**: 14.51 states/eV/cell
**Space group**: P4/mmm (123)
**Energy relative to the elements**: -0.20 eV per atom

***

The following is a GGA-PBE calculation of a relaxed Na3Ac12Bi5 crystal, from Alexandria via LeMat-Bulk.

Unit cell a=17.477 b=17.477 c=17.477 alpha=109.47 beta=109.47 gamma=109.47
Fractional coordinates of all 80 atoms:
Na  0.750  0.375  0.125
Na  0.875  0.750  0.125
Na  0.375  0.750  0.625
Na  0.250  0.125  0.375
Na  0.875  0.125  0.250
Na  0.375  0.625  0.250
Na  0.625  0.375  0.750
Na  0.125  0.875  0.750
Na  0.750  0.875  0.625
Na  0.625  0.250  0.375
Na  0.125  0.250  0.875
Na  0.250  0.625  0.875
Bi  0.125  0.375  0.250
Bi  0.000  0.500  0.000
Bi  0.000  0.000  0.000
Bi  0.375  0.250  0.125
Bi  0.500  0.000  0.500
Bi  0.500  0.500  0.000
Bi  0.125  0.750  0.375
Bi  0.750  0.125  0.875
Bi  0.750  0.625  0.375
Bi  0.375  0.125  0.750
Bi  0.625  0.875  0.250
Bi  0.500  0.500  0.500
Bi  0.500  0.000  0.000
Bi  0.000  0.000  0.500
Bi  0.250  0.375  0.625
Bi  0.250  0.875  0.125
Bi  0.000  0.500  0.500
Bi  0.875  0.250  0.625
Bi  0.625  0.750  0.875
Bi  0.875  0.625  0.750
Ac  0.719  0.120  0.047
Ac  0.328  0.547  0.427
Ac  0.953  0.380  0.281
Ac  0.547  0.219  0.120
Ac  0.599  0.719  0.672
Ac  0.953  0.573  0.172
Ac  0.328  0.781  0.401
Ac  0.073  0.901  0.120
Ac  0.573  0.953  0.672
Ac  0.719  0.599  0.172
Ac  0.781  0.453  0.380
Ac  0.828  0.927  0.047
Ac  0.120  0.719  0.547
Ac  0.380  0.427  0.099
Ac  0.099  0.927  0.380
Ac  0.401  0.120  0.573
Ac  0.099  0.172  0.219
Ac  0.453  0.672  0.073
Ac  0.828  0.901  0.281
Ac  0.120  0.401  0.073
Ac  0.380  0.953  0.781
Ac  0.573  0.620  0.401
Ac  0.927  0.828  0.547
Ac  0.781  0.328  0.901
Ac  0.427  0.380  0.599
Ac  0.073  0.172  0.453
Ac  0.219  0.672  0.099
Ac  0.172  0.099  0.719
Ac  0.620  0.047  0.219
Ac  0.880  0.599  0.927
Ac  0.547  0.328  0.927
Ac  0.599  0.880  0.427
Ac  0.901  0.828  0.781
Ac  0.901  0.073  0.620
Ac  0.880  0.281  0.453
Ac  0.172  0.073  0.953
Ac  0.620  0.573  0.901
Ac  0.427  0.047  0.328
Ac  0.281  0.401  0.828
Ac  0.219  0.547  0.620
Ac  0.927  0.099  0.880
Ac  0.672  0.219  0.599
Ac  0.453  0.781  0.880
Ac  0.047  0.427  0.828
Ac  0.401  0.281  0.328
Ac  0.047  0.620  0.719
Ac  0.672  0.453  0.573
Ac  0.281  0.880  0.953

**DOS at the Fermi energy**: 107.39 states/eV/cell
**Space group**: Ia-3d (230)
**Energy relative to the elements**: 0.07 eV per atom

***

The following is a GGA-PBE calculation of a relaxed UPa2Mn crystal, from Alexandria via LeMat-Bulk.

Unit cell a=3.428 b=3.428 c=8.639 alpha=78.56 beta=78.56 gamma=60.00
Fractional coordinates of all 4 atoms:
Pa  0.733  0.733  0.801
Pa  0.267  0.267  0.199
U  0.500  0.500  0.500
Mn  0.000  0.000  0.000

**DOS at the Fermi energy**: 8.90 states/eV/cell
**Space group**: R-3m (166)
**Energy relative to the elements**: 0.28 eV per atom

***

The following is a GGA-PBE calculation of a relaxed Zr4InBi2 crystal, from Alexandria via LeMat-Bulk.

Unit cell a=7.623 b=7.623 c=7.622 alpha=109.59 beta=109.59 gamma=109.24
Fractional coordinates of all 14 atoms:
Zr  0.030  0.279  0.400
Zr  0.371  0.471  0.251
Zr  0.879  0.630  0.600
Zr  0.721  0.121  0.751
Zr  0.370  0.970  0.249
Zr  0.220  0.120  0.749
Zr  0.529  0.780  0.900
Zr  0.880  0.629  0.100
In  0.250  0.750  0.500
In  0.000  0.000  0.000
Bi  0.501  0.375  0.626
Bi  0.749  0.875  0.374
Bi  0.625  0.251  0.126
Bi  0.125  0.499  0.874

**DOS at the Fermi energy**: 11.54 states/eV/cell
**Space group**: I-42d (122)
**Energy relative to the elements**: -0.28 eV per atom

***

The following is a GGA-PBE calculation of a relaxed Dy6ZnTe5 crystal, from Alexandria via LeMat-Bulk.

Unit cell a=7.521 b=7.521 c=7.493 alpha=99.60 beta=99.60 gamma=119.85
Fractional coordinates of all 12 atoms:
Zn  0.000  0.000  0.000
Te  0.822  0.178  0.500
Te  0.664  0.336  0.000
Te  0.500  0.500  0.500
Te  0.336  0.664  0.000
Te  0.178  0.822  0.500
Dy  0.384  0.076  0.231
Dy  0.924  0.616  0.769
Dy  0.226  0.226  0.759
Dy  0.774  0.774  0.241
Dy  0.076  0.384  0.231
Dy  0.616  0.924  0.769

**E_tot**: -4.882 eV/atom
**DOS at the Fermi energy**: 3.60 states/eV/cell
**Space group**: C2/m (12)

***

> Which formula does entry 3 have?

BeNi2Cl

***

> DOS at the Fermi energy of number 4 (CrAs2Au)?

2.32 states/eV/cell

***

> Look up the DOS at the Fermi energy of the twelfth one.

3.60 states/eV/cell